Record 1
Below is a relaxed structure of Cd2InF8, with properties calculated at the GGA-PBE level.

Calculated values
The magnetic moment comes out at 1.152 μB per cell. As for the total DFT energy (no corrections): -3.789 eV per atom. As for the space group: C2/m, No. 12.

Cell lengths 3.5962, 6.8219, 7.3947 Å; angles 102.64, 90.00, 105.28 degrees
Closest atoms and distances in Å follow each position.
Fractional coordinates of all 11 atoms:
F1 0.2720 0.5439 0.8835  2 Cd 2.21
F2 0.5682 0.1365 0.7776  1 In 2.05, 1 Cd 2.23
F3 0.8225 0.6450 0.4773  3 Cd 2.27-2.37
F4 0.1775 0.3550 0.5227  3 Cd 2.27-2.37
F5 0.7280 0.4561 0.1165  2 Cd 2.21
F6 0.0835 0.1670 0.1283  2 In 2.21
F7 0.4318 0.8635 0.2224  1 In 2.05, 1 Cd 2.23
F8 0.9165 0.8330 0.8717  2 In 2.21
Cd1 0.7249 0.4499 0.7100  6 F 2.21-2.37
Cd2 0.2751 0.5501 0.2900  6 F 2.21-2.37
In1 0.5000 0.0000 0.0000  6 F 2.05-2.21


Record 2
Below is a relaxed structure of KRu3Se, with properties calculated at the GGA-PBE level.

Calculated values
Its relative energy among the computed polymorphs is 1.850 eV per atom. The magnetic moment comes out at 7.062 μB per cell. As for the total DFT energy (no corrections): -3.605 eV per atom. As for the space group: Pm-3m, No. 221.

Cell lengths 4.8096, 4.8096, 4.8096 Å; angles 90.00, 90.00, 90.00 degrees
Closest atoms and distances in Å follow each position.
Fractional coordinates of all 5 atoms:
Ru1 0.0000 0.0000 0.5000  2 K 2.40
Ru2 0.5000 0.0000 0.0000  2 K 2.40
Ru3 0.0000 0.5000 0.0000  2 K 2.40
Se1 0.5000 0.5000 0.5000  12 Ru 3.40
K1 0.0000 0.0000 0.0000  6 Ru 2.40


Record 3
Below is a relaxed structure of MnZnSb2, with properties calculated at the GGA-PBE level.

Calculated values
The magnetic moment comes out at 3.024 μB per cell. As for the total DFT energy (no corrections): -4.488 eV per atom. As for the space group: Cmm2, No. 35.

Cell lengths 3.1593, 3.1593, 8.6215 Å; angles 90.00, 90.00, 96.92 degrees
Closest atoms and distances in Å follow each position.
Fractional coordinates of all 4 atoms:
Sb1 0.5000 0.5000 0.3093  4 Zn 2.92-3.11, 4 Sb 3.16
Sb2 0.0000 0.0000 0.9287  4 Mn 2.77-2.98
Mn1 0.5000 0.5000 0.7176  4 Zn 2.57-2.80, 2 Sb 2.77
Zn1 0.0000 0.0000 0.5444  4 Mn 2.57-2.80


Number 1: formation energy (no corrections) -2.013 eV/atom, D(E_F) 0.783 states/eV per atom. Number 2: formation energy (no corrections) 2.877 eV/atom, D(E_F) 1.535 states/eV per atom. Number 3: formation energy (no corrections) 0.184 eV/atom, D(E_F) 0.473 states/eV per atom.